# 1
TlSnSb2 | Alexandria via LeMat-Bulk | PBE | optimized geometry; E above lowest polymorph = 0.069 eV per atom; total moment = 0.0 μB/f.u.; VASP energy = -3.54 eV/atom
1.0
3.817 0.000 0.000
0.000 3.817 0.000
0.000 0.000 7.895
Sb Tl Sn
2 1 1
Cartesian
0.000 0.000 1.771 Sb
0.000 0.000 6.124 Sb
1.909 1.909 3.948 Tl
1.909 1.909 0.000 Sn

# 2
Tl3Sn12Sb5 | Alexandria via LeMat-Bulk | PBE | optimized geometry; total moment = 0.0 μB/f.u.; VASP energy = -3.58 eV/atom
1.0
-3.281 12.477 8.500
5.218 -11.267 9.193
10.829 3.572 -10.424
Tl Sb Sn
12 20 48
Cartesian
9.451 -1.539 3.567 Tl
12.277 -5.620 1.288 Tl
0.850 5.579 8.519 Tl
0.489 10.402 5.981 Tl
10.370 1.868 -5.760 Tl
11.917 -0.797 -1.250 Tl
3.893 3.050 -0.635 Tl
2.397 2.913 13.029 Tl
3.315 6.321 3.702 Tl
4.738 -1.470 6.327 Tl
8.028 6.252 0.942 Tl
8.873 1.731 7.904 Tl
8.512 6.554 5.365 Sb
3.774 8.024 -0.962 Sb
7.564 -5.551 4.048 Sb
1.428 2.308 4.183 Sb
0.969 0.605 8.846 Sb
4.862 3.655 8.211 Sb
5.099 -6.293 8.865 Sb
6.383 2.391 3.634 Sb
8.024 -3.848 -0.616 Sb
11.338 2.473 3.086 Sb
7.905 1.127 -0.943 Sb
0.000 0.000 0.000 Sb
4.254 -1.773 1.904 Sb
2.609 -5.634 4.596 Sb
7.667 11.075 -1.597 Sb
5.202 10.333 3.221 Sb
-1.640 6.238 4.250 Sb
5.415 1.786 -5.212 Sb
5.223 -1.168 10.750 Sb
7.544 5.949 -3.481 Sb
11.058 -3.802 -1.209 Sn
10.253 1.718 -2.641 Sn
7.336 -3.060 5.626 Sn
3.658 5.950 6.786 Sn
-0.984 7.785 6.846 Sn
9.986 4.588 -7.627 Sn
9.108 -1.168 0.483 Sn
11.889 -0.134 1.804 Sn
2.028 0.049 5.994 Sn
6.001 -8.776 7.536 Sn
5.431 7.842 1.643 Sn
0.877 4.916 5.465 Sn
2.883 -1.814 9.060 Sn
1.760 5.792 11.501 Sn
8.417 -7.970 5.521 Sn
9.883 6.596 -1.791 Sn
3.303 9.272 5.224 Sn
10.271 7.358 3.127 Sn
5.864 1.438 6.530 Sn
6.902 3.344 0.739 Sn
9.041 9.089 0.112 Sn
3.726 -4.308 7.157 Sn
10.739 4.732 1.274 Sn
10.235 -0.972 6.539 Sn
5.633 5.571 -1.256 Sn
3.649 3.253 2.474 Sn
7.856 3.679 -5.351 Sn
3.090 0.080 -0.086 Sn
2.514 3.064 9.910 Sn
7.411 4.169 9.620 Sn
6.765 13.558 -0.267 Sn
9.676 4.701 7.355 Sn
2.531 5.754 0.730 Sn
6.441 -0.701 3.582 Sn
9.117 1.528 4.795 Sn
1.708 8.584 8.478 Sn
0.745 8.097 3.604 Sn
2.496 -2.577 4.142 Sn
9.464 -4.490 2.045 Sn
5.356 0.613 -2.351 Sn
13.750 -3.003 0.423 Sn
4.911 1.102 12.620 Sn
4.349 12.752 1.748 Sn
12.021 -3.315 3.665 Sn
2.780 0.194 14.896 Sn
7.133 -0.789 8.524 Sn
11.006 -1.011 -4.232 Sn
6.326 5.482 3.687 Sn

# 3
TlSnSb2 | Alexandria via LeMat-Bulk | PBE | optimized geometry; E above lowest polymorph = 0.000 eV per atom; total moment = 0.0 μB/f.u.; VASP energy = -3.61 eV/atom
1.0
-2.139 -3.640 -1.117
5.085 -3.238 0.812
-4.793 -2.875 18.550
Sb Sn Tl
8 4 4
Cartesian
1.938 -4.425 6.439 Sb
-2.403 -2.859 9.651 Sb
0.556 -6.893 8.594 Sb
-0.932 -4.181 2.604 Sb
1.196 -2.187 0.568 Sb
-3.785 -5.327 11.806 Sb
-0.915 -5.571 15.641 Sb
-3.043 -7.565 17.677 Sb
-1.425 -7.137 13.181 Sn
1.297 -5.906 3.958 Sn
-3.144 -3.846 14.287 Sn
-0.423 -2.615 5.064 Sn
-1.693 -5.081 6.996 Tl
-0.154 -4.671 11.249 Tl
3.417 -3.982 2.162 Tl
-5.264 -5.771 16.083 Tl